A PBEsol-optimized structure of TaReP2S, computed with SCAN.

Calculated values
Crystal system   tetragonal
Raw formation energy   1.13 eV per atom
Space group   No. 123
Raw total energy   -32.488 eV/atom

Structure (POSCAR):
```
TaReP2S
1.0
-1.3808 4.2780 -0.1144
-3.9777 -1.2337 1.8769
1.7542 0.6775 4.1631
Re S P Ta
1 1 2 1
direct
0.0000 0.0000 0.0000
0.5000 0.0000 0.0000
0.0000 0.0000 0.5000
0.0000 0.5000 0.0000
0.5000 0.5000 0.5000
```

=====

A PBEsol-optimized structure of ReTeP2S, computed with SCAN.

Calculated values
Crystal system   tetragonal
Raw formation energy   0.53 eV per atom
Space group   No. 123
Raw total energy   -27.229 eV/atom

Structure (POSCAR):
```
ReTeP2S
1.0
-1.0006 3.2327 2.8215
2.7977 -1.9804 3.2613
3.6611 2.5323 -1.6030
Re S Te P
1 1 1 2
direct
0.0000 0.0000 0.0000
0.5000 0.0000 0.0000
0.5000 0.5000 0.5000
0.0000 0.0000 0.5000
0.0000 0.5000 0.0000
```

=====

A PBEsol-optimized structure of YRePS2, computed with SCAN.

Calculated values
Crystal system   tetragonal
Raw formation energy   -0.32 eV per atom
Space group   No. 123
Raw total energy   -26.034 eV/atom

Structure (POSCAR):
```
YRePS2
1.0
-3.8918 -1.7859 1.4935
2.3421 -2.3906 3.2447
-0.4905 3.5558 2.9739
Y Re S P
1 1 2 1
direct
0.5000 0.5000 0.5000
0.0000 0.0000 0.0000
0.0000 0.0000 0.5000
0.0000 0.5000 0.0000
0.5000 0.0000 0.0000
```

=====

A PBEsol-optimized structure of YReP2S, computed with SCAN.

Calculated values
Crystal system   tetragonal
Raw formation energy   1.37 eV per atom
Space group   No. 123
Raw total energy   -24.501 eV/atom

Structure (POSCAR):
```
YReP2S
1.0
-4.0015 -2.8068 -0.7994
3.0305 -4.0521 -0.9420
-0.1202 -1.2502 4.9913
Y Re S P
1 1 1 2
direct
0.0000 0.0000 0.0000
0.5000 0.5000 0.5000
0.5000 0.0000 0.0000
0.0000 0.0000 0.5000
0.0000 0.5000 0.0000
```